No. 1
Computed, not measured: crystalline Ca2PmPb3 at its relaxed geometry at the PBE level of DFT.

Cell lengths 8.1327, 8.1327, 9.1530 Å; angles 90.00, 90.00, 143.52 degrees
Closest atoms and distances in Å follow each position.
Atoms (fractional coordinates):
1 Ca 0.0000 0.0000 0.0000  8 Pb 3.43-3.46, 4 Ca 3.61
2 Ca 0.0000 0.0000 0.5000  8 Pb 3.42-3.45, 4 Pm 3.59
3 Ca 0.3345 0.6655 0.0000  8 Pb 3.43-3.45, 4 Ca 3.61-3.65
4 Ca 0.6655 0.3345 0.0000  8 Pb 3.43-3.45, 4 Ca 3.61-3.65
5 Pm 0.3361 0.6639 0.5000  8 Pb 3.41-3.46, 2 Ca 3.59, 2 Pm 3.68
6 Pm 0.6639 0.3361 0.5000  8 Pb 3.41-3.46, 2 Ca 3.59, 2 Pm 3.68
7 Pb 0.1677 0.8323 0.2508  3 Pm 3.42-3.46, 5 Ca 3.43-3.46, 4 Pb 3.60-3.63
8 Pb 0.1677 0.8323 0.7492  3 Pm 3.42-3.46, 5 Ca 3.43-3.46, 4 Pb 3.60-3.63
9 Pb 0.5000 0.5000 0.2505  2 Pm 3.41, 6 Ca 3.42-3.43, 4 Pb 3.63
10 Pb 0.5000 0.5000 0.7495  2 Pm 3.41, 6 Ca 3.42-3.43, 4 Pb 3.63
11 Pb 0.8323 0.1677 0.2508  3 Pm 3.42-3.46, 5 Ca 3.43-3.46, 4 Pb 3.60-3.63
12 Pb 0.8323 0.1677 0.7492  3 Pm 3.42-3.46, 5 Ca 3.43-3.46, 4 Pb 3.60-3.63

Calculated values
Energy above the most stable polymorph in this dataset (eV/atom): 0.0049
Symmetry: No. 65
DFT total energy (eV/cell): -45.911
Energy relative to the elements (kJ/mol of formula units): -297

No. 2
Computed, not measured: crystalline YPt3F at its relaxed geometry at the PBE level of DFT.

Cell lengths 4.4754, 4.4754, 4.4754 Å; angles 90.00, 90.00, 90.00 degrees
Closest atoms and distances in Å follow each position.
Atoms (fractional coordinates):
1 Y 0.0000 0.0000 0.0000  12 Pt 3.16
2 Pt 0.0000 0.5000 0.5000  2 F 2.24
3 Pt 0.5000 0.0000 0.5000  2 F 2.24
4 Pt 0.5000 0.5000 0.0000  2 F 2.24
5 F 0.5000 0.5000 0.5000  6 Pt 2.24

Calculated values
Energy above the most stable polymorph in this dataset (eV/atom): 0.0000
Symmetry: No. 221
DFT total energy (eV/cell): -27.685
Energy relative to the elements, uncorrected (kJ/mol of formula units): -118

No. 3
Computed, not measured: crystalline ScTlGa2 at its relaxed geometry at the PBE level of DFT.

Cell lengths 4.9845, 4.9845, 4.9845 Å; angles 60.00, 60.00, 60.00 degrees
Closest atoms and distances in Å follow each position.
Atoms (fractional coordinates):
1 Sc 0.0000 0.0000 0.0000  8 Ga 3.05
2 Tl 0.5000 0.5000 0.5000  8 Ga 3.05
3 Ga 0.2500 0.2500 0.2500  4 Tl 3.05, 4 Sc 3.05
4 Ga 0.7500 0.7500 0.7500  4 Tl 3.05, 4 Sc 3.05

Calculated values
Energy above the most stable polymorph in this dataset (eV/atom): 0.2544
Symmetry: No. 225
DFT total energy (eV/cell): -14.863
Energy relative to the elements (kJ/mol of formula units): -11

No. 4
Computed, not measured: crystalline La3Mg5Ag2 at its relaxed geometry at the PBE level of DFT.

Cell lengths 10.9006, 10.9006, 4.4973 Å; angles 90.00, 90.00, 90.00 degrees
Closest atoms and distances in Å follow each position.
Atoms (fractional coordinates):
1 La 0.0000 0.0000 0.0000  8 Mg 3.37
2 La 0.1807 0.3193 0.0000  3 Ag 3.17-3.29
3 La 0.3193 0.8193 0.0000  3 Ag 3.17-3.29
4 La 0.5000 0.5000 0.0000  8 Mg 3.37
5 La 0.6807 0.1807 0.0000  3 Ag 3.17-3.29
6 La 0.8193 0.6807 0.0000  3 Ag 3.17-3.29
7 Mg 0.0000 0.5000 0.5000  4 Ag 2.85, 4 Mg 3.10
8 Mg 0.0617 0.7777 0.5000  2 Ag 2.93, 1 Mg 3.10
9 Mg 0.2223 0.0617 0.5000  2 Ag 2.93, 1 Mg 3.10
10 Mg 0.2777 0.5617 0.5000  2 Ag 2.93, 1 Mg 3.10
11 Mg 0.4383 0.2777 0.5000  2 Ag 2.93, 1 Mg 3.10
12 Mg 0.5000 0.0000 0.5000  4 Ag 2.85, 4 Mg 3.10
13 Mg 0.5617 0.7223 0.5000  2 Ag 2.93, 1 Mg 3.10
14 Mg 0.7223 0.4383 0.5000  2 Ag 2.93, 1 Mg 3.10
15 Mg 0.7777 0.9383 0.5000  2 Ag 2.93, 1 Mg 3.10
16 Mg 0.9383 0.2223 0.5000  2 Ag 2.93, 1 Mg 3.10
17 Ag 0.1140 0.6140 0.0000  6 Mg 2.85-2.93, 1 La 3.17
18 Ag 0.3860 0.1140 0.0000  6 Mg 2.85-2.93, 1 La 3.17
19 Ag 0.6140 0.8860 0.0000  6 Mg 2.85-2.93, 1 La 3.17
20 Ag 0.8860 0.3860 0.0000  6 Mg 2.85-2.93, 1 La 3.17

Calculated values
Symmetry: No. 127
DFT total energy (eV/cell): -60.923
Energy relative to the elements (kJ/mol of formula units): -193